(1)
{"formula": "MgCo2NiTe", "functional": "PBE-GGA", "state": "optimized geometry", "dos_ef_per_ev_atom": 1.526, "spacegroup": "P4/mmm, No. 123", "dft_energy_ev_per_atom": -3.4309, "formation_energy_uncorrected_ev_per_atom": 1.515, "lattice_angstrom": [[4.4011, 0.0000, 0.0000], [0.0000, 5.1373, 0.0000], [0.0000, 0.0000, 4.4011]], "species": ["Ni", "Mg", "Te", "Co", "Co"], "fractional_positions": [[0.5000, 0.5000, 0.5000], [0.0000, 0.0000, 0.0000], [0.0000, 0.5000, 0.0000], [0.0000, 0.0000, 0.5000], [0.5000, 0.0000, 0.0000]]}

(2)
{"formula": "TbPm2Pr6Th", "functional": "PBE-GGA", "state": "optimized geometry", "e_form_ev_per_atom": 0.141, "dos_ef_per_ev_atom": 1.456, "spacegroup": "C2/c, No. 15", "dft_energy_ev_per_atom": -4.8822, "lattice_angstrom": [[9.4965, -2.3219, -2.4096], [0.7770, 8.6789, -1.9646], [0.7770, -2.2849, 8.6001]], "species": ["Tb", "Tb", "Pm", "Pm", "Pm", "Pm", "Pr", "Pr", "Pr", "Pr", "Pr", "Pr", "Pr", "Pr", "Pr", "Pr", "Pr", "Pr", "Th", "Th"], "fractional_positions": [[0.2500, 0.4062, 0.5938], [0.7500, 0.5938, 0.4062], [0.4534, 0.8062, 0.7165], [0.0466, 0.2835, 0.1938], [0.5466, 0.1938, 0.2835], [0.9534, 0.7165, 0.8062], [0.0555, 0.1095, 0.7487], [0.4445, 0.2513, 0.8905], [0.9445, 0.8905, 0.2513], [0.5555, 0.7487, 0.1095], [0.3118, 0.9875, 0.4222], [0.1882, 0.5778, 0.0125], [0.6882, 0.0125, 0.5778], [0.8118, 0.4222, 0.9875], [0.1201, 0.6996, 0.4947], [0.3799, 0.5053, 0.3004], [0.8799, 0.3004, 0.5053], [0.6201, 0.4947, 0.6996], [0.2500, 0.9795, 0.0205], [0.7500, 0.0205, 0.9795]]}

(3)
{"formula": "Sm4Al2TlCd", "functional": "PBE-GGA", "state": "optimized geometry", "e_form_ev_per_atom": -0.347, "dos_ef_per_ev_atom": 0.728, "spacegroup": "R-3m, No. 166", "dft_energy_ev_per_atom": -4.0520, "lattice_angstrom": [[5.3321, 0.0000, 0.0000], [2.6661, 4.6178, 0.0000], [2.6661, 1.5393, 8.7045]], "species": ["Sm", "Sm", "Sm", "Sm", "Al", "Al", "Tl", "Cd"], "fractional_positions": [[0.3759, 0.3759, 0.8722], [0.8741, 0.8741, 0.3776], [0.1259, 0.1259, 0.6224], [0.6241, 0.6241, 0.1278], [0.7518, 0.7518, 0.7447], [0.2482, 0.2482, 0.2553], [0.0000, 0.0000, 0.0000], [0.5000, 0.5000, 0.5000]]}

(4)
{"formula": "LiTc2Pt2", "functional": "PBE-GGA", "state": "optimized geometry", "e_form_ev_per_atom": 0.082, "dos_ef_per_ev_atom": 0.722, "spacegroup": "P4/mbm, No. 127", "polymorph_energy_ev_per_fu": 0.54, "dft_energy_ev_per_atom": -6.8631, "lattice_angstrom": [[7.8205, 0.0000, 0.0000], [0.0000, 7.8205, 0.0000], [0.0000, 0.0000, 2.6750]], "species": ["Tc", "Tc", "Tc", "Tc", "Pt", "Pt", "Pt", "Pt", "Li", "Li"], "fractional_positions": [[0.1734, 0.6734, 0.5000], [0.6734, 0.8266, 0.5000], [0.8266, 0.3266, 0.5000], [0.3266, 0.1734, 0.5000], [0.3763, 0.8763, 0.0000], [0.8763, 0.6237, 0.0000], [0.6237, 0.1237, 0.0000], [0.1237, 0.3763, 0.0000], [0.0000, 0.0000, 0.0000], [0.5000, 0.5000, 0.0000]]}

Which formula does entry 1 have?
MgCo2NiTe